! Ce6Cu, optimized geometry, DFT PBE; values from VASP
&SYSTEM
  ibrav = 0, nat = 7, ntyp = 2
/
ATOMIC_SPECIES
Cu 63.55 Cu.upf
Ce 140.12 Ce.upf
CELL_PARAMETERS angstrom
6.568 0.000 0.000
-2.189 6.192 0.000
-2.189 -3.096 5.362
ATOMIC_POSITIONS angstrom
Cu 0.000 0.000 0.000
Ce 3.284 2.322 1.341
Ce -1.095 3.096 2.681
Ce 1.095 -0.774 4.022
Ce 1.095 3.870 1.341
Ce 3.284 0.000 2.681
Ce -1.095 0.774 4.022
! Formation enthalpy at 0 K in meV/atom: 1052
! SG: Im-3m
! Total magnetization in μB per atom: 0.000
! VASP energy in eV/f.u.: -32.3